(1)
Crystalline Ba2Sr5Ca5 at its relaxed geometry. Source: Alexandria via LeMat-Bulk, functional PBE.

Values from the calculation:
N(E_F)	1.061	states/eV per atom
DFT total energy	-1.726	eV/atom
volume	672.7	Å³/cell
ΔH_f (0 K)	0.1290	eV/atom
distance to the lowest polymorph of the same formula	105.0	meV per atom

Cell lengths 6.6183, 7.5731, 13.4216 Å; angles 90.00, 90.00, 90.00 degrees
Closest atoms and distances in Å follow each position.
Space group Pmmm (No. 47)
Symmetry-distinct sites (fractional):
Ba: 0.0000 0.0000 0.0000 x1  6 Sr 4.39
Ba: 0.0000 0.5000 0.5000 x1  6 Sr 4.44-4.49
Sr: 0.0000 0.0000 0.3272 x2  4 Ca 3.98, 4 Sr 4.04-4.36, 3 Ba 4.39-4.44
Sr: 0.0000 0.5000 0.1654 x2  6 Ca 3.95-3.98, 2 Sr 4.36, 2 Ba 4.39
Sr: 0.5000 0.0000 0.5000 x1  4 Ca 3.94, 4 Sr 4.04
Ca: 0.5000 0.2498 0.2427 x4  3 Ca 3.77-3.79, 5 Sr 3.94-3.98
Ca: 0.5000 0.5000 0.0000 x1  4 Ca 3.77, 4 Sr 3.98

(2)
Crystalline Pr6Nd12Ho at its relaxed geometry. Source: Alexandria via LeMat-Bulk, functional PBE.

Values from the calculation:
N(E_F)	1.674	states/eV per atom
DFT total energy	-4.471	eV/atom
volume	2070.7	Å³/cell
ΔH_f (0 K)	0.2903	eV/atom
distance to the lowest polymorph of the same formula	165.7	meV per atom

Cell lengths 16.6681, 16.6681, 8.6063 Å; angles 90.00, 90.00, 120.00 degrees
Closest atoms and distances in Å follow each position.
Space group R-3m (No. 166, hexagonal axes)
Symmetry-distinct sites (fractional):
Pr: 0.0845 0.1690 0.1468 x18  5 Nd 3.50-3.89, 2 Pr 3.51, 1 Ho 3.90
Nd: 0.0000 0.3789 0.0000 x18  4 Nd 3.16-3.24, 2 Pr 3.50
Nd: 0.0938 0.5469 0.3148 x18  2 Nd 3.24, 2 Pr 3.55
Ho: 0.0000 0.0000 0.5000 x3  6 Nd 3.69, 6 Pr 3.90

(3)
Crystalline Pm4SmHo10 at its relaxed geometry. Source: Alexandria via LeMat-Bulk, functional PBE.

Values from the calculation:
N(E_F)	1.540	states/eV per atom
DFT total energy	-3.874	eV/atom
volume	1146.2	Å³/cell
ΔH_f (0 K)	0.7589	eV/atom

Cell lengths 12.1939, 12.1939, 7.7084 Å; angles 90.00, 90.00, 90.00 degrees
Closest atoms and distances in Å follow each position.
Space group I4/m (No. 87)
Symmetry-distinct sites (fractional):
Pm: 0.1004 0.2993 0.0000 x8  8 Ho 3.34-3.35
Sm: 0.0000 0.0000 0.5000 x2  8 Ho 3.33
Ho: 0.0000 0.5000 0.2500 x4  4 Pm 3.35
Ho: 0.0994 0.7999 0.2506 x16  1 Sm 3.33, 3 Pm 3.34

no.,total moment (μB/cell)
1,0.0
2,0.0
3,0.0